*w*
Here is an optimized crystal structure of NpSeCl from the Alexandria database. Energies are from GGA-PBE.

```
NpSeCl
1.0
4.633 0.000 0.000
-2.316 4.012 0.000
0.000 0.000 3.867
Np Se Cl
1 1 1
Cartesian
0.000 0.000 0.000
2.316 1.337 1.995
0.000 2.675 0.101
```

As for the space-group type: P3m1.



*x*
Here is an optimized crystal structure of NpSeCl from the Alexandria database. Energies are from GGA-PBE.

```
NpSeCl
1.0
0.000 3.422 3.422
3.422 0.000 3.422
3.422 3.422 0.000
Np Se Cl
1 1 1
Cartesian
0.000 0.000 0.000
1.711 1.711 1.711
5.133 5.133 5.133
```

As for the space-group type: F-43m.



Computed energies relative to the best structure, in meV per atom: *w* 213; *x* 0



*w*
Here is an optimized crystal structure of NpSn2Cl8 from the Alexandria database. Energies are from GGA-PBE.

```
NpSn2Cl8
1.0
6.502 -4.394 0.000
6.502 4.394 0.000
-2.412 0.000 7.744
Np Sn Cl
1 2 8
Cartesian
0.000 0.000 0.000
0.412 0.000 4.824
10.180 0.000 2.920
5.098 2.629 1.427
1.809 0.000 1.812
5.494 2.629 6.317
2.424 0.000 6.122
8.168 0.000 1.622
5.098 -2.629 1.427
8.783 0.000 5.932
5.494 -2.629 6.317
```

As for the space-group type: C2/m.



*x*
Here is an optimized crystal structure of NpSn2Cl8 from the Alexandria database. Energies are from GGA-PBE.

```
NpSn2Cl8
1.0
5.963 -4.576 0.000
5.963 4.576 0.000
-2.210 0.000 6.364
Np Sn Cl
1 2 8
Cartesian
0.000 0.000 0.000
2.800 0.000 3.400
6.915 0.000 2.964
2.551 2.806 4.765
-0.170 0.000 4.856
7.164 2.806 1.599
4.549 0.000 1.482
5.167 0.000 4.881
2.551 -2.806 4.765
9.885 0.000 1.507
7.164 -2.806 1.599
```

As for the space-group type: C2/m.



Computed energies relative to the best structure, in meV per atom: *w* 38; *x* 0



*w*
Here is an optimized crystal structure of SrNp2Cl8 from the Alexandria database. Energies are from GGA-PBE.

```
SrNp2Cl8
1.0
4.280 -6.276 0.000
4.280 6.276 0.000
-1.298 0.000 5.301
Sr Np Cl
1 2 8
Cartesian
0.000 0.000 0.000
3.630 2.272 2.650
3.630 -2.272 2.650
0.894 1.663 3.118
4.280 3.287 0.000
0.894 -1.663 3.118
2.949 0.000 1.044
4.312 0.000 4.257
6.367 1.663 2.182
4.280 -3.287 0.000
6.367 -1.663 2.182
```

As for the space-group type: C2/m.



*x*
Here is an optimized crystal structure of SrNp2Cl8 from the Alexandria database. Energies are from GGA-PBE.

```
SrNp2Cl8
1.0
5.734 -4.403 0.000
5.734 4.403 0.000
-1.740 0.000 7.002
Sr Np Cl
1 2 8
Cartesian
0.000 0.000 0.000
2.706 0.000 3.838
7.023 0.000 3.164
2.899 2.708 4.803
0.770 0.000 5.705
6.830 2.708 2.198
4.591 0.000 1.822
5.138 0.000 5.180
2.899 -2.708 4.803
8.959 0.000 1.297
6.830 -2.708 2.198
```

As for the space-group type: C2/m.



Computed energies relative to the best structure, in meV per atom: *w* 22; *x* 0



*w*
Here is an optimized crystal structure of NpTl2Cl6 from the Alexandria database. Energies are from GGA-PBE.

```
NpTl2Cl6
1.0
6.457 -3.727 0.000
6.457 3.727 0.000
-1.776 0.000 6.688
Np Tl Cl
1 2 6
Cartesian
0.000 0.000 0.000
2.353 0.000 5.221
8.786 0.000 1.466
4.955 1.890 1.110
1.619 0.000 2.044
6.184 1.890 5.578
4.955 -1.890 1.110
9.519 0.000 4.644
6.184 -1.890 5.578
```

As for the space-group type: C2/m.



*x*
Here is an optimized crystal structure of NpTl2Cl6 from the Alexandria database. Energies are from GGA-PBE.

```
NpTl2Cl6
1.0
7.454 0.000 0.000
0.000 8.236 0.000
-6.500 0.000 10.417
Np Tl Cl
2 4 12
Cartesian
0.000 0.000 0.000
-3.250 4.118 5.208
-2.732 0.712 7.921
0.518 3.407 2.713
0.436 4.830 7.704
3.686 7.525 2.496
-0.719 0.393 2.481
-3.969 3.725 7.689
1.250 6.050 0.693
-2.000 6.305 5.901
2.201 1.372 0.438
-1.049 2.746 5.647
2.003 5.490 4.770
-1.247 6.864 9.979
2.954 1.932 4.516
-0.296 2.186 9.724
4.924 4.511 2.728
1.674 7.844 7.936
```

As for the space-group type: P2_1/c.



Computed energies relative to the best structure, in meV per atom: *w* 15; *x* 0



*w*
Here is an optimized crystal structure of NpTl2Cl8 from the Alexandria database. Energies are from GGA-PBE.

```
NpTl2Cl8
1.0
6.769 -5.126 0.000
6.769 5.126 0.000
-1.886 0.000 5.808
Np Tl Cl
1 2 8
Cartesian
0.000 0.000 0.000
3.887 0.000 3.908
7.763 0.000 1.900
3.922 3.359 4.324
0.212 0.000 4.529
7.729 3.359 1.485
5.019 0.000 1.121
6.632 0.000 4.687
3.922 -3.359 4.324
11.439 0.000 1.279
7.729 -3.359 1.485
```

As for the space-group type: C2/m.



*x*
Here is an optimized crystal structure of NpTl2Cl8 from the Alexandria database. Energies are from GGA-PBE.

```
NpTl2Cl8
1.0
6.768 -3.305 0.000
6.768 3.305 0.000
-0.204 0.000 8.990
Np Tl Cl
1 2 8
Cartesian
0.000 0.000 0.000
1.796 0.000 4.453
11.536 0.000 4.537
2.221 0.000 1.141
5.961 1.621 1.612
7.370 1.621 7.378
4.516 0.000 4.787
8.815 0.000 4.203
5.961 -1.621 1.612
7.370 -1.621 7.378
11.111 0.000 7.849
```

As for the space-group type: C2/m.



Computed energies relative to the best structure, in meV per atom: *w* 0; *x* 18



*w*
Here is an optimized crystal structure of NpUCl6 from the Alexandria database. Energies are from GGA-PBE.

```
NpUCl6
1.0
6.851 0.000 0.000
3.418 5.939 0.000
3.419 1.976 6.451
Np U Cl
1 1 6
Cartesian
0.000 0.000 0.000
6.844 3.958 3.226
4.625 3.856 4.817
5.646 5.830 1.638
7.864 5.931 4.818
5.824 1.984 1.634
8.042 2.085 4.814
9.063 4.059 1.634
```

As for the space-group type: P-1.



*x*
Here is an optimized crystal structure of NpUCl6 from the Alexandria database. Energies are from GGA-PBE.

```
NpUCl6
1.0
6.973 -2.453 0.000
6.973 2.453 0.000
-5.175 0.000 6.738
Np U Cl
1 1 6
Cartesian
0.000 0.000 0.000
4.385 0.000 3.369
-2.874 0.000 4.919
2.213 0.000 1.697
2.114 0.000 5.179
6.657 0.000 1.559
6.558 0.000 5.041
11.645 0.000 1.819
```

As for the space-group type: C2/m.



Computed energies relative to the best structure, in meV per atom: *w* 0; *x* 28



*w*
Here is an optimized crystal structure of NpZnCl6 from the Alexandria database. Energies are from GGA-PBE.

```
NpZnCl6
1.0
3.499 -5.974 0.000
3.499 5.974 0.000
-0.386 0.000 6.465
Np Zn Cl
1 1 6
Cartesian
0.000 0.000 0.000
-0.193 0.000 3.232
2.402 4.256 1.646
1.878 0.000 1.824
4.210 4.256 4.818
2.402 -4.256 1.646
4.735 0.000 4.641
4.210 -4.256 4.818
```

As for the space-group type: C2/m.



*x*
Here is an optimized crystal structure of NpZnCl6 from the Alexandria database. Energies are from GGA-PBE.

```
NpZnCl6
1.0
3.248 1.876 5.889
-3.248 1.876 5.889
0.000 -3.751 5.889
Np Zn Cl
1 1 6
Cartesian
0.000 0.000 0.000
0.000 0.000 8.834
-2.044 0.109 7.406
-1.116 -1.715 10.262
0.928 -1.824 7.406
-0.928 1.824 10.262
1.116 1.715 7.406
2.044 -0.109 10.262
```

As for the space-group type: R-3.



Computed energies relative to the best structure, in meV per atom: *w* 0; *x* 9



*w*
Here is an optimized crystal structure of OsCl3O from the Alexandria database. Energies are from GGA-PBE.

```
OsCl3O
1.0
4.670 0.000 0.000
0.000 4.670 0.000
0.000 0.000 4.670
Os Cl O
1 3 1
Cartesian
0.000 0.000 0.000
0.000 0.000 2.335
0.000 2.335 0.000
2.335 0.000 0.000
2.335 2.335 2.335
```

As for the space-group type: Pm-3m.



*x*
Here is an optimized crystal structure of OsCl3O from the Alexandria database. Energies are from GGA-PBE.

```
OsCl3O
1.0
2.401 -5.808 0.000
2.401 5.808 0.000
0.000 0.000 11.989
Os Cl O
2 6 2
Cartesian
2.401 5.045 8.992
2.401 -5.045 2.997
2.401 4.016 6.999
2.401 4.016 10.984
2.401 1.272 2.997
2.401 -1.272 8.992
2.401 -4.016 1.005
2.401 -4.016 4.989
2.401 4.867 2.997
2.401 -4.867 8.992
```

As for the space-group type: Cmcm.



Computed energies relative to the best structure, in meV per atom: *w* 1203; *x* 0